# Li2Al5Cu4 PBE relaxed
# ΔE_f = -1.401 eV per formula unit
# M_tot = 0.00 μB per cell
# Offset from the most stable computed form = 0.40 eV per formula unit
data_Li2Al5Cu4
_chemical_formula_sum 'Li4 Al10 Cu8'
_symmetry_space_group_name_H-M 'I m m m'
_symmetry_Int_Tables_number 71
_symmetry_space_group_name_Hall '-I 2 2'
_cell_length_a 5.1562
_cell_length_b 7.8924
_cell_length_c 8.2754
_cell_angle_alpha 90.00
_cell_angle_beta 90.00
_cell_angle_gamma 90.00
loop_
_atom_site_label
_atom_site_type_symbol
_atom_site_fract_x
_atom_site_fract_y
_atom_site_fract_z
Li1 Li 0.0000 0.0000 0.2179
Al1 Al 0.0000 0.5000 0.5000
Al2 Al 0.2494 0.1863 0.5000
Cu1 Cu 0.0000 0.3273 0.2583